(1)
## TaBrNO2 (GGA-PBE)

Data for a relaxed TaBrNO2 crystal.

Values from the calculation:
crystal system	tetragonal
SG	P4/mmm
V	65.37	Å³/cell
raw formation energy	1376	meV/atom

Lattice parameters (Å, degrees): 3.754 3.754 4.638 90.00 90.00 90.00
Atoms (fractional coordinates):
Br 0.000 0.000 0.000
Ta 0.500 0.500 0.500
O 0.500 0.000 0.000
O 0.000 0.500 0.000
N 0.000 0.000 0.500

***

(2)
## TaBrNO2 (GGA-PBE)

Data for a relaxed TaBrNO2 crystal.

Values from the calculation:
crystal system	tetragonal
SG	P4/mmm
V	68.73	Å³/cell
raw formation energy	-760	meV/atom

Lattice parameters (Å, degrees): 3.886 3.886 4.552 90.00 90.00 90.00
Atoms (fractional coordinates):
O 0.000 0.500 0.000
O 0.500 0.000 0.000
Ta 0.000 0.000 0.000
N 0.000 0.000 0.500
Br 0.500 0.500 0.500

***

(3)
## TlBr2NO (GGA-PBE)

Data for a relaxed TlBr2NO crystal.

Values from the calculation:
crystal system	tetragonal
SG	P4/mmm
V	120.56	Å³/cell
raw formation energy	1012	meV/atom

Lattice parameters (Å, degrees): 4.647 5.582 4.647 90.00 90.00 90.00
Atoms (fractional coordinates):
Br 0.000 0.000 0.500
Br 0.500 0.000 0.000
O 0.000 0.000 0.000
Tl 0.000 0.500 0.000
N 0.500 0.500 0.500

***

Number 1: magnetic moment 1.71 μB/f.u.. Number 2: magnetic moment 0.00 μB/f.u.. Number 3: magnetic moment 3.00 μB/f.u..